The following is a GGA-PBE calculation of a relaxed structure of Mo2WAu, from the Alexandria database.

Calculated values
total magnetization	0.00	Bohr magnetons per cell
energy of formation from the pure elements	0.32	eV per atom
VASP energy	-9.152	eV per atom
energy relative to the lowest polymorph listed for this composition	0.174	eV per atom
Fermi-level density of states	2.98	states/eV/f.u.

a b c (Å): 4.938 4.938 5.137
angles (deg): 83.40 83.40 31.73
Atoms (fractional coordinates):
Au1 0.250 0.250 0.250
Mo1 0.997 0.997 0.001
Mo2 0.751 0.751 0.750
W1 0.502 0.502 0.499